This record from Alexandria describes an optimized crystal structure of ZrZn2P. The functional is PBE.

```
ZrZn2P
1.0
-3.7095 3.7095 2.5682
3.7095 -3.7095 2.5682
3.7095 3.7095 -2.5682
Zr Zn P
2 4 2
Cartesian
0.0000 0.0000 0.0000 Zr
0.0000 3.7095 1.2841 Zr
1.8547 -1.5133 1.9261 Zn
2.1962 1.8547 0.6420 Zn
1.8547 5.2227 -0.6420 Zn
1.5133 1.8547 3.2102 Zn
3.7095 0.0000 1.2841 P
0.0000 0.0000 2.5682 P
```

Summary:
D(E_F) = 3.658 states/eV/cell
space-group type = I-42d



This record from Alexandria describes an optimized crystal structure of ZrZn2P. The functional is PBE.

```
ZrZn2P
1.0
0.0000 3.2703 3.2703
3.2703 0.0000 3.2703
3.2703 3.2703 0.0000
Zr Zn P
1 2 1
Cartesian
0.0000 0.0000 0.0000 Zr
1.6352 1.6352 1.6352 Zn
4.9055 4.9055 4.9055 Zn
3.2703 3.2703 3.2703 P
```

Summary:
D(E_F) = 2.988 states/eV/cell
space-group type = Fm-3m



no.,formation energy from the elements (eV/atom)
1,-0.265
2,0.252